# 1
Entry from Alexandria: a relaxed Nd4Er2Mg crystal (PBE-GGA).

The uncorrected energy is -4.136 eV per atom. Its density of states at the Fermi level is 7.2 states/eV/cell. The calculation puts the energy above the lowest structure with this stoichiometry at 0.00 eV/f.u.

The structure belongs to space group P2/m (No. 10); the cell edges are 5.9637, 3.6751 and 11.0216 Å and the angles 90.00°, 99.48° and 90.00°. The inequivalent atoms are Nd at (0.0458, 0.0000, 0.2058), Nd at (0.4375, 0.5000, 0.7487), Er at (0.0000, 0.5000, 0.5000), Er at (0.5000, 0.0000, 0.5000) and Mg at (0.5000, 0.0000, 0.0000).

# 2
Entry from Alexandria: a relaxed Nd5Er6Mg crystal (PBE-GGA).

The uncorrected energy is -4.373 eV per atom. Its density of states at the Fermi level is 35.2 states/eV/cell.

The structure belongs to space group Immm (No. 71); the cell edges are 5.0623, 10.0635 and 15.0653 Å and the angles 90.00°, 90.00° and 90.00°. The inequivalent atoms are Nd at (0.0000, 0.0000, 0.0000), Nd at (0.0000, 0.0000, 0.3334), Nd at (0.0000, 0.5000, 0.3338), Er at (0.0000, 0.2497, 0.5000), Er at (0.0000, 0.2522, 0.1661) and Mg at (0.0000, 0.5000, 0.0000).

# 3
Entry from Alexandria: a relaxed Nd2Er8Mg crystal (PBE-GGA).

The uncorrected energy is -4.219 eV per atom. Its density of states at the Fermi level is 36.0 states/eV/cell. The calculation puts the energy above the lowest structure with this stoichiometry at 0.00 eV/f.u.

The structure belongs to space group Immm (No. 71); the cell edges are 5.4846, 7.6315 and 16.6651 Å and the angles 90.00°, 90.00° and 90.00°. The inequivalent atoms are Nd at (0.0000, 0.0000, 0.1955), Er at (0.0000, 0.2322, 0.0000), Er at (0.0000, 0.2762, 0.3642), Er at (0.0000, 0.5000, 0.1740) and Mg at (0.0000, 0.0000, 0.5000).

# 4
Entry from Alexandria: a relaxed Nd3Er6Mg crystal (PBE-GGA).

The uncorrected energy is -4.299 eV per atom. Its density of states at the Fermi level is 29.8 states/eV/cell.

The structure belongs to space group P2_1/m (No. 11); the cell edges are 11.0628, 5.0562 and 11.2204 Å and the angles 90.00°, 91.00° and 90.00°. The inequivalent atoms are Nd at (0.0514, 0.2500, 0.4015), Nd at (0.1537, 0.7500, 0.2050), Nd at (0.2536, 0.2500, 0.0047), Er at (0.0530, 0.7500, 0.8976), Er at (0.1569, 0.2500, 0.7008), Er at (0.2611, 0.7500, 0.5041), Er at (0.3498, 0.7500, 0.8062), Er at (0.3585, 0.2500, 0.3091), Er at (0.4533, 0.7500, 0.1031) and Mg at (0.4482, 0.2500, 0.6033).

# 5
Entry from Alexandria: a relaxed NdErMg4 crystal (PBE-GGA).

The uncorrected energy is -2.662 eV per atom. Its density of states at the Fermi level is 14.0 states/eV/cell. The calculation puts the energy above the lowest structure with this stoichiometry at 0.20 eV/f.u.

The structure belongs to space group C2/m (No. 12); the cell edges are 13.9004, 3.4302 and 6.8636 Å and the angles 90.00°, 104.25° and 90.00°. The inequivalent atoms are Nd at (0.0000, 0.0000, 0.0000), Er at (0.0000, 0.0000, 0.5000), Mg at (0.1743, 0.5000, 0.3424) and Mg at (0.1772, 0.5000, 0.8333).

# 6
Entry from Alexandria: a relaxed NdEr8Mg6 crystal (PBE-GGA).

The uncorrected energy is -3.181 eV per atom. Its density of states at the Fermi level is 63.1 states/eV/cell.

The structure belongs to space group R-3 (No. 148, hexagonal axes); the cell edges are 9.0811, 9.0811 and 19.2098 Å and the angles 90.00°, 90.00° and 120.00°. The inequivalent atoms are Nd at (0.0000, 0.0000, 0.0000), Er at (0.0000, 0.0000, 0.3377), Er at (0.9996, 0.3341, 0.8828) and Mg at (0.0022, 0.6645, 0.9515).

# 7
Entry from Alexandria: a relaxed Nd2ErMg crystal (PBE-GGA).

The uncorrected energy is -3.952 eV per atom. Its density of states at the Fermi level is 4.9 states/eV/cell. The calculation puts the energy above the lowest structure with this stoichiometry at 0.00 eV/f.u.

The structure belongs to space group P4/mmm (No. 123); the cell edges are 3.7194, 3.7194 and 9.0343 Å and the angles 90.00°, 90.00° and 90.00°. The inequivalent atoms are Nd at (0.0000, 0.0000, 0.2320), Er at (0.5000, 0.5000, 0.5000) and Mg at (0.5000, 0.5000, 0.0000).

# 8
Entry from Alexandria: a relaxed Nd2ErMg8 crystal (PBE-GGA).

The uncorrected energy is -2.405 eV per atom. Its density of states at the Fermi level is 18.1 states/eV/cell.

The structure belongs to space group Immm (No. 71); the cell edges are 5.3093, 7.7128 and 14.4847 Å and the angles 90.00°, 90.00° and 90.00°. The inequivalent atoms are Nd at (0.0000, 0.0000, 0.2092), Er at (0.0000, 0.0000, 0.5000), Mg at (0.0000, 0.2131, 0.0000), Mg at (0.0000, 0.3050, 0.3677) and Mg at (0.0000, 0.5000, 0.1525).

# 9
Entry from Alexandria: a relaxed Nd4Er2Mg crystal (PBE-GGA).

The uncorrected energy is -4.067 eV per atom. Its density of states at the Fermi level is 31.4 states/eV/cell. The calculation puts the energy above the lowest structure with this stoichiometry at 0.49 eV/f.u.

The structure belongs to space group Imma (No. 74); the cell edges are 6.8426, 11.3468 and 12.0260 Å and the angles 90.00°, 90.00° and 90.00°. The inequivalent atoms are Nd at (0.0000, 0.0128, 0.1553), Nd at (0.2234, 0.2500, 0.9910), Er at (0.0000, 0.0000, 0.5000), Er at (0.0000, 0.2500, 0.7166) and Mg at (0.2500, 0.2500, 0.2500).

# 10
Entry from Alexandria: a relaxed Nd7Er4Mg crystal (PBE-GGA).

The uncorrected energy is -4.236 eV per atom. Its density of states at the Fermi level is 32.6 states/eV/cell.

The structure belongs to space group C2/m (No. 12); the cell edges are 11.2769, 5.5881 and 13.1722 Å and the angles 90.00°, 105.41° and 90.00°. The inequivalent atoms are Nd at (0.0000, 0.0000, 0.0000), Nd at (0.1385, 0.0000, 0.4683), Nd at (0.1578, 0.5000, 0.2565), Nd at (0.2268, 0.5000, 0.8961), Er at (0.0479, 0.0000, 0.7773), Er at (0.0913, 0.5000, 0.6271) and Mg at (0.0000, 0.5000, 0.0000).

# 11
Entry from Alexandria: a relaxed Nd6Er4Mg crystal (PBE-GGA).

The uncorrected energy is -4.137 eV per atom. Its density of states at the Fermi level is 27.9 states/eV/cell.

The structure belongs to space group I-42m (No. 121); the cell edges are 6.5577, 6.5577 and 17.2397 Å and the angles 90.00°, 90.00° and 90.00°. The inequivalent atoms are Nd at (0.0000, 0.5000, 0.0000), Nd at (0.1739, 0.1739, 0.3642), Er at (0.1811, 0.1811, 0.1704) and Mg at (0.0000, 0.0000, 0.0000).

# 12
Entry from Alexandria: a relaxed Nd3ErMg crystal (PBE-GGA).

The uncorrected energy is -4.027 eV per atom. Its density of states at the Fermi level is 29.3 states/eV/cell. The calculation puts the energy above the lowest structure with this stoichiometry at 0.00 eV/f.u.

The structure belongs to space group C2/m (No. 12); the cell edges are 22.7362, 3.5501 and 8.5775 Å and the angles 90.00°, 108.29° and 90.00°. The inequivalent atoms are Nd at (0.0174, 0.0000, 0.2240), Nd at (0.1220, 0.5000, 0.0363), Nd at (0.1764, 0.0000, 0.4426), Er at (0.2345, 0.5000, 0.8201) and Mg at (0.0761, 0.5000, 0.5990).

Number 1: energy of formation from the pure elements 11.5 kJ/mol of atoms. Number 2: energy of formation from the pure elements 2.7 kJ/mol of atoms. Number 3: energy of formation from the pure elements 10.7 kJ/mol of atoms. Number 4: energy of formation from the pure elements 2.8 kJ/mol of atoms. Number 5: energy of formation from the pure elements -4.3 kJ/mol of atoms. Number 6: energy of formation from the pure elements 20.1 kJ/mol of atoms. Number 7: energy of formation from the pure elements -2.8 kJ/mol of atoms. Number 8: energy of formation from the pure elements 3.5 kJ/mol of atoms. Number 9: energy of formation from the pure elements 18.2 kJ/mol of atoms. Number 10: energy of formation from the pure elements 19.2 kJ/mol of atoms. Number 11: energy of formation from the pure elements 25.8 kJ/mol of atoms. Number 12: energy of formation from the pure elements 6.3 kJ/mol of atoms.